Entry 1:
The following is a PBE-GGA calculation of a relaxed BaSn2Br crystal, from Alexandria via LeMat-Bulk.

a = 5.768 Å, b = 5.768 Å, c = 5.768 Å
α = 60.00°, β = 60.00°, γ = 60.00°
Sites, in units of the cell vectors:
Ba (0.000, 0.000, 0.000)
Sn (0.250, 0.250, 0.250)
Sn (0.750, 0.750, 0.750)
Br (0.500, 0.500, 0.500)

Calculated values
Its crystal system is cubic. The value obtained for the total magnetization is 0.000 μB/f.u. Its symmetry is Fm-3m. The energy above the lowest structure with this stoichiometry is 569 meV per atom.

***

Entry 2:
The following is a PBE-GGA calculation of a relaxed Ba4SnBr3 crystal, from Alexandria via LeMat-Bulk.

a = 8.351 Å, b = 9.788 Å, c = 8.565 Å
α = 90.00°, β = 109.42°, γ = 90.00°
Sites, in units of the cell vectors:
Ba (0.242, 0.116, 0.001)
Ba (0.242, 0.372, 0.491)
Ba (0.242, 0.628, 0.991)
Ba (0.242, 0.884, 0.501)
Ba (0.758, 0.116, 0.499)
Ba (0.758, 0.372, 0.009)
Ba (0.758, 0.628, 0.509)
Ba (0.758, 0.884, 0.999)
Sn (0.000, 0.133, 0.250)
Sn (0.000, 0.867, 0.750)
Br (0.000, 0.376, 0.750)
Br (0.000, 0.624, 0.250)
Br (0.500, 0.140, 0.750)
Br (0.500, 0.380, 0.250)
Br (0.500, 0.620, 0.750)
Br (0.500, 0.860, 0.250)

Calculated values
Its crystal system is monoclinic. The value obtained for the total magnetization is 0.000 μB/f.u. Its symmetry is P2/c.

***

Entry 3:
The following is a PBE-GGA calculation of a relaxed Ba2SnBr crystal, from Alexandria via LeMat-Bulk.

a = 7.044 Å, b = 6.999 Å, c = 14.171 Å
α = 90.00°, β = 109.22°, γ = 90.00°
Sites, in units of the cell vectors:
Ba (0.052, 0.250, 0.118)
Ba (0.052, 0.750, 0.618)
Ba (0.407, 0.250, 0.885)
Ba (0.407, 0.750, 0.385)
Ba (0.593, 0.250, 0.615)
Ba (0.593, 0.750, 0.115)
Ba (0.948, 0.250, 0.382)
Ba (0.948, 0.750, 0.882)
Sn (0.439, 0.250, 0.346)
Sn (0.439, 0.750, 0.846)
Sn (0.561, 0.250, 0.154)
Sn (0.561, 0.750, 0.654)
Br (0.089, 0.249, 0.629)
Br (0.089, 0.751, 0.129)
Br (0.911, 0.249, 0.871)
Br (0.911, 0.751, 0.371)

Calculated values
Its crystal system is monoclinic. The value obtained for the total magnetization is 0.000 μB/f.u. Its symmetry is P2/c. The energy above the lowest structure with this stoichiometry is 0 meV per atom.

***

Entry 4:
The following is a PBE-GGA calculation of a relaxed Ba2SnBr crystal, from Alexandria via LeMat-Bulk.

a = 9.399 Å, b = 9.399 Å, c = 9.399 Å
α = 29.16°, β = 29.16°, γ = 29.16°
Sites, in units of the cell vectors:
Ba (0.000, 0.000, 0.000)
Ba (0.174, 0.174, 0.174)
Sn (0.587, 0.587, 0.587)
Br (0.757, 0.757, 0.757)

Calculated values
Its crystal system is trigonal. The value obtained for the total magnetization is 0.000 μB/f.u. Its symmetry is R3m. The energy above the lowest structure with this stoichiometry is 89 meV per atom.

***

Entry 5:
The following is a PBE-GGA calculation of a relaxed Ba2ZrSnBr crystal, from Alexandria via LeMat-Bulk.

a = 6.392 Å, b = 6.392 Å, c = 5.442 Å
α = 90.00°, β = 90.00°, γ = 90.00°
Sites, in units of the cell vectors:
Ba (0.000, 0.500, 0.000)
Ba (0.500, 0.000, 0.000)
Zr (0.000, 0.000, 0.000)
Sn (0.000, 0.000, 0.500)
Br (0.500, 0.500, 0.500)

Calculated values
Its crystal system is tetragonal. The value obtained for the total magnetization is 0.001 μB/f.u. Its symmetry is P4/mmm.

***

Entry 6:
The following is a PBE-GGA calculation of a relaxed BaSr3Br crystal, from Alexandria via LeMat-Bulk.

a = 7.578 Å, b = 7.578 Å, c = 7.578 Å
α = 90.00°, β = 90.00°, γ = 90.00°
Sites, in units of the cell vectors:
Ba (0.000, 0.000, 0.000)
Sr (0.000, 0.000, 0.500)
Sr (0.000, 0.500, 0.000)
Sr (0.500, 0.000, 0.000)
Br (0.500, 0.500, 0.500)

Calculated values
Its crystal system is cubic. The value obtained for the total magnetization is 0.989 μB/f.u. Its symmetry is Pm-3m. The energy above the lowest structure with this stoichiometry is 962 meV per atom.

***

Entry 7:
The following is a PBE-GGA calculation of a relaxed BaSrBr crystal, from Alexandria via LeMat-Bulk.

a = 8.381 Å, b = 8.381 Å, c = 8.381 Å
α = 152.06°, β = 152.06°, γ = 39.93°
Sites, in units of the cell vectors:
Ba (0.000, 0.000, 0.000)
Sr (0.708, 0.708, 0.000)
Br (0.347, 0.347, 0.000)

Calculated values
Its crystal system is tetragonal. The value obtained for the total magnetization is 0.006 μB/f.u. Its symmetry is I4mm. The energy above the lowest structure with this stoichiometry is 101 meV per atom.

***

Entry 8:
The following is a PBE-GGA calculation of a relaxed BaSrBr crystal, from Alexandria via LeMat-Bulk.

a = 6.223 Å, b = 6.223 Å, c = 6.223 Å
α = 60.00°, β = 60.00°, γ = 60.00°
Sites, in units of the cell vectors:
Ba (0.000, 0.000, 0.000)
Sr (0.750, 0.750, 0.750)
Br (0.250, 0.250, 0.250)

Calculated values
Its crystal system is cubic. The value obtained for the total magnetization is 0.940 μB/f.u. Its symmetry is F-43m. The energy above the lowest structure with this stoichiometry is 793 meV per atom.

***

Entry 9:
The following is a PBE-GGA calculation of a relaxed BaSrBr crystal, from Alexandria via LeMat-Bulk.

a = 4.375 Å, b = 4.375 Å, c = 8.175 Å
α = 90.00°, β = 90.00°, γ = 120.00°
Sites, in units of the cell vectors:
Ba (0.000, 0.000, 0.000)
Sr (0.333, 0.667, 0.573)
Br (0.667, 0.333, 0.296)

Calculated values
Its crystal system is trigonal. The value obtained for the total magnetization is 0.804 μB/f.u. Its symmetry is P3m1. The energy above the lowest structure with this stoichiometry is 0 meV per atom.

***

Entry 10:
The following is a PBE-GGA calculation of a relaxed BaSrBr3 crystal, from Alexandria via LeMat-Bulk.

a = 5.974 Å, b = 5.974 Å, c = 5.974 Å
α = 90.00°, β = 90.00°, γ = 90.00°
Sites, in units of the cell vectors:
Ba (0.000, 0.000, 0.000)
Sr (0.500, 0.500, 0.500)
Br (0.000, 0.500, 0.500)
Br (0.500, 0.000, 0.500)
Br (0.500, 0.500, 0.000)

Calculated values
Its crystal system is cubic. The value obtained for the total magnetization is 0.000 μB/f.u. Its symmetry is Pm-3m. The energy above the lowest structure with this stoichiometry is 0 meV per atom.

***

Entry 11:
The following is a PBE-GGA calculation of a relaxed Ba3SrBr crystal, from Alexandria via LeMat-Bulk.

a = 7.186 Å, b = 7.186 Å, c = 7.186 Å
α = 90.00°, β = 90.00°, γ = 90.00°
Sites, in units of the cell vectors:
Ba (0.000, 0.000, 0.500)
Ba (0.000, 0.500, 0.000)
Ba (0.500, 0.000, 0.000)
Sr (0.000, 0.000, 0.000)
Br (0.500, 0.500, 0.500)

Calculated values
Its crystal system is cubic. The value obtained for the total magnetization is 4.677 μB/f.u. Its symmetry is Pm-3m. The energy above the lowest structure with this stoichiometry is 808 meV per atom.

***

Entry 12:
The following is a PBE-GGA calculation of a relaxed BaSrBr crystal, from Alexandria via LeMat-Bulk.

a = 9.230 Å, b = 8.780 Å, c = 4.265 Å
α = 82.27°, β = 70.49°, γ = 27.25°
Sites, in units of the cell vectors:
Ba (0.000, 0.000, 0.000)
Sr (0.293, 0.293, 0.707)
Br (0.655, 0.655, 0.345)

Calculated values
Its crystal system is orthorhombic. The value obtained for the total magnetization is 0.001 μB/f.u. Its symmetry is Fmm2. The energy above the lowest structure with this stoichiometry is 51 meV per atom.

***

Entry 13:
The following is a PBE-GGA calculation of a relaxed BaSr3Br crystal, from Alexandria via LeMat-Bulk.

a = 6.414 Å, b = 6.414 Å, c = 6.414 Å
α = 90.00°, β = 90.00°, γ = 90.00°
Sites, in units of the cell vectors:
Ba (0.000, 0.000, 0.000)
Sr (0.000, 0.500, 0.500)
Sr (0.500, 0.000, 0.500)
Sr (0.500, 0.500, 0.000)
Br (0.500, 0.500, 0.500)

Calculated values
Its crystal system is cubic. The value obtained for the total magnetization is 0.002 μB/f.u. Its symmetry is Pm-3m. The energy above the lowest structure with this stoichiometry is 0 meV per atom.

***

Entry 14:
The following is a PBE-GGA calculation of a relaxed Ba4SrBr crystal, from Alexandria via LeMat-Bulk.

a = 8.062 Å, b = 8.062 Å, c = 8.062 Å
α = 60.00°, β = 60.00°, γ = 60.00°
Sites, in units of the cell vectors:
Ba (0.376, 0.376, 0.376)
Ba (0.376, 0.376, 0.873)
Ba (0.376, 0.873, 0.376)
Ba (0.873, 0.376, 0.376)
Sr (0.750, 0.750, 0.750)
Br (0.000, 0.000, 0.000)

Calculated values
Its crystal system is cubic. The value obtained for the total magnetization is 1.396 μB/f.u. Its symmetry is F-43m.

***

Entry 15:
The following is a PBE-GGA calculation of a relaxed Ba6SrBr12 crystal, from Alexandria via LeMat-Bulk.

a = 9.417 Å, b = 9.417 Å, c = 9.417 Å
α = 100.01°, β = 100.01°, γ = 100.01°
Sites, in units of the cell vectors:
Ba (0.127, 0.637, 0.805)
Ba (0.195, 0.873, 0.363)
Ba (0.363, 0.195, 0.873)
Ba (0.637, 0.805, 0.127)
Ba (0.805, 0.127, 0.637)
Ba (0.873, 0.363, 0.195)
Sr (0.500, 0.500, 0.500)
Br (0.069, 0.323, 0.928)
Br (0.072, 0.931, 0.677)
Br (0.180, 0.541, 0.440)
Br (0.323, 0.928, 0.069)
Br (0.440, 0.180, 0.541)
Br (0.459, 0.560, 0.820)
Br (0.541, 0.440, 0.180)
Br (0.560, 0.820, 0.459)
Br (0.677, 0.072, 0.931)
Br (0.820, 0.459, 0.560)
Br (0.928, 0.069, 0.323)
Br (0.931, 0.677, 0.072)

Calculated values
Its crystal system is trigonal. The value obtained for the total magnetization is 1.239 μB/f.u. Its symmetry is R-3.

***

Entry 16:
The following is a PBE-GGA calculation of a relaxed BaSrBr crystal, from Alexandria via LeMat-Bulk.

a = 5.734 Å, b = 5.734 Å, c = 5.734 Å
α = 60.00°, β = 60.00°, γ = 60.00°
Sites, in units of the cell vectors:
Ba (0.000, 0.000, 0.000)
Sr (0.500, 0.500, 0.500)
Br (0.750, 0.750, 0.750)

Calculated values
Its crystal system is cubic. The value obtained for the total magnetization is 0.967 μB/f.u. Its symmetry is F-43m. The energy above the lowest structure with this stoichiometry is 335 meV per atom.

***

Entry 17:
The following is a PBE-GGA calculation of a relaxed Ba3SrBr crystal, from Alexandria via LeMat-Bulk.

a = 6.537 Å, b = 6.537 Å, c = 6.537 Å
α = 90.00°, β = 90.00°, γ = 90.00°
Sites, in units of the cell vectors:
Ba (0.000, 0.000, 0.500)
Ba (0.000, 0.500, 0.000)
Ba (0.500, 0.000, 0.000)
Sr (0.500, 0.500, 0.500)
Br (0.000, 0.000, 0.000)

Calculated values
Its crystal system is cubic. The value obtained for the total magnetization is 0.207 μB/f.u. Its symmetry is Pm-3m. The energy above the lowest structure with this stoichiometry is 0 meV per atom.

***

Entry 18:
The following is a PBE-GGA calculation of a relaxed BaSrBr crystal, from Alexandria via LeMat-Bulk.

a = 4.300 Å, b = 4.300 Å, c = 16.760 Å
α = 90.00°, β = 90.00°, γ = 120.00°
Sites, in units of the cell vectors:
Ba (0.000, 0.000, 0.215)
Ba (0.000, 0.000, 0.785)
Sr (0.000, 0.000, 0.500)
Sr (0.667, 0.333, 0.000)
Br (0.667, 0.333, 0.374)
Br (0.667, 0.333, 0.626)

Calculated values
Its crystal system is hexagonal. The value obtained for the total magnetization is 0.522 μB/f.u. Its symmetry is P-6m2. The energy above the lowest structure with this stoichiometry is 39 meV per atom.

***

Entry 19:
The following is a PBE-GGA calculation of a relaxed BaSrBr3 crystal, from Alexandria via LeMat-Bulk.

a = 6.285 Å, b = 6.285 Å, c = 6.285 Å
α = 90.00°, β = 90.00°, γ = 90.00°
Sites, in units of the cell vectors:
Ba (0.000, 0.000, 0.000)
Sr (0.500, 0.500, 0.500)
Br (0.000, 0.000, 0.500)
Br (0.000, 0.500, 0.000)
Br (0.500, 0.000, 0.000)

Calculated values
Its crystal system is cubic. The value obtained for the total magnetization is 0.641 μB/f.u. Its symmetry is Pm-3m. The energy above the lowest structure with this stoichiometry is 120 meV per atom.

***

Entry 20:
The following is a PBE-GGA calculation of a relaxed BaSrTeBr2 crystal, from Alexandria via LeMat-Bulk.

a = 5.196 Å, b = 5.196 Å, c = 7.987 Å
α = 90.00°, β = 90.00°, γ = 90.00°
Sites, in units of the cell vectors:
Ba (0.000, 0.000, 0.000)
Sr (0.500, 0.500, 0.471)
Te (0.500, 0.500, 0.867)
Br (0.000, 0.500, 0.286)
Br (0.500, 0.000, 0.286)

Calculated values
Its crystal system is tetragonal. The value obtained for the total magnetization is 0.000 μB/f.u. Its symmetry is P4mm.

***

| no. | ΔE_f (raw) (eV/atom) |
| --- | --- |
| 1 | -0.149 |
| 2 | -1.434 |
| 3 | -1.173 |
| 4 | -1.084 |
| 5 | -0.118 |
| 6 | 0.502 |
| 7 | -0.886 |
| 8 | -0.193 |
| 9 | -0.987 |
| 10 | -1.656 |
| 11 | 0.267 |
| 12 | -0.936 |
| 13 | -0.460 |
| 14 | 0.016 |
| 15 | -2.006 |
| 16 | -0.651 |
| 17 | -0.541 |
| 18 | -0.947 |
| 19 | -1.536 |
| 20 | -1.833 |